Entry 1:
AcThMgHg | PBE | relaxed

Cell and atoms, written as extended XYZ:
```
16
Lattice="7.892 0.000 0.000 0.000 7.892 0.000 0.000 0.000 7.892" Properties=species:S:1:pos:R:3 pbc="T T T"
Ac 0.000 0.000 0.000
Ac 0.000 3.946 3.946
Ac 3.946 0.000 3.946
Ac 3.946 3.946 0.000
Th 0.000 0.000 3.946
Th 0.000 3.946 0.000
Th 3.946 0.000 0.000
Th 3.946 3.946 3.946
Mg 1.973 1.973 5.919
Mg 1.973 5.919 1.973
Mg 5.919 1.973 1.973
Mg 5.919 5.919 5.919
Hg 1.973 1.973 1.973
Hg 1.973 5.919 5.919
Hg 5.919 1.973 5.919
Hg 5.919 5.919 1.973
```

Results
The space group is F-43m (216). Its formation energy is -0.0749 eV/atom.

---

Entry 2:
BaTeIrI2 | PBE | relaxed

Cell and atoms, written as extended XYZ:
```
5
Lattice="6.602 0.000 0.000 0.000 6.602 0.000 0.000 0.000 6.825" Properties=species:S:1:pos:R:3 pbc="T T T"
Ba 0.000 0.000 0.000
Te 0.000 0.000 3.412
Ir 3.301 3.301 3.412
I 0.000 3.301 0.000
I 3.301 0.000 0.000
```

Results
The space group is P4/mmm (123). Its energy is -2.509 eV/atom.

---

Entry 3:
Nd2CuRu2 | PBE | relaxed

Cell and atoms, written as extended XYZ:
```
10
Lattice="4.551 -2.809 0.000 4.551 2.809 0.000 -1.995 0.000 8.227" Properties=species:S:1:pos:R:3 pbc="T T T"
Nd 1.070 0.773 1.260
Nd 0.072 -0.773 5.373
Nd 7.034 0.773 2.854
Nd 6.037 -0.773 6.967
Cu 4.052 0.741 2.057
Cu 3.055 -0.741 6.170
Ru 2.356 0.733 4.064
Ru 1.359 -0.733 8.177
Ru 5.747 0.733 0.049
Ru 4.750 -0.733 4.163
```

Results
The space group is C2/c (15). Its formation energy is -0.1076 eV/atom.